(1)
This record from Alexandria via LeMat-Bulk describes a relaxed structure of LaTiNO2. The functional is GGA-PBEsol.

Its space-group type is P4/mmm. For the formation energy without anion corrections, the calculation gives -192 kJ/mol of formula units.

Cell: 4.3689 4.3885 4.3885 Å, 90.00 90.00 90.00°
Last column: nearest neighbours and their distance in Å.
Atoms (fractional coordinates):
La (0.0000, 0.0000, 0.0000)  2 N 2.18, 4 O 2.19
Ti (0.5000, 0.5000, 0.5000)  8 O 3.10, 4 N 3.10
O (0.0000, 0.5000, 0.0000)  2 La 2.19
O (0.0000, 0.0000, 0.5000)  2 La 2.19
N (0.5000, 0.0000, 0.0000)  2 La 2.18


(2)
This record from Alexandria via LeMat-Bulk describes a relaxed structure of LaTiNO2. The functional is GGA-PBEsol.

Its space-group type is P4/mmm. For the formation energy without anion corrections, the calculation gives -1307 kJ/mol of formula units.

Cell: 3.8797 3.8797 3.9983 Å, 90.00 90.00 90.00°
Last column: nearest neighbours and their distance in Å.
Atoms (fractional coordinates):
La (0.5000, 0.5000, 0.5000)  4 N 2.74, 8 O 2.79
O (0.5000, 0.0000, 0.0000)  2 Ti 1.94
N (0.0000, 0.0000, 0.5000)  2 Ti 2.00
Ti (0.0000, 0.0000, 0.0000)  4 O 1.94, 2 N 2.00
O (0.0000, 0.5000, 0.0000)  2 Ti 1.94


(3)
This record from Alexandria via LeMat-Bulk describes a relaxed structure of LaZnN2O. The functional is GGA-PBEsol.

Its space-group type is P4/mmm. For the formation energy without anion corrections, the calculation gives 332 kJ/mol of formula units.

Cell: 4.1893 4.3914 4.3914 Å, 90.00 90.00 90.00°
Last column: nearest neighbours and their distance in Å.
Atoms (fractional coordinates):
La (0.0000, 0.0000, 0.0000)  2 O 2.09, 4 N 2.20
Zn (0.5000, 0.5000, 0.5000)  8 N 3.03, 4 O 3.11
N (0.0000, 0.0000, 0.5000)  2 La 2.20
O (0.5000, 0.0000, 0.0000)  2 La 2.09
N (0.0000, 0.5000, 0.0000)  2 La 2.20


(4)
This record from Alexandria via LeMat-Bulk describes a relaxed structure of LaOsN3. The functional is GGA-PBEsol.

Its space-group type is P2_1/c. For the formation energy without anion corrections, the calculation gives -214 kJ/mol of formula units.

Cell: 4.7418 7.1128 10.1351 Å, 90.00 90.00 108.33°
Last column: nearest neighbours and their distance in Å.
Atoms (fractional coordinates):
Os (0.3084, 0.8498, 0.5703)  4 N 1.76-1.96
N (0.7006, 0.9073, 0.0867)  1 Os 1.82
Os (0.3084, 0.3498, 0.9297)  4 N 1.76-1.96
N (0.9726, 0.8383, 0.6493)  1 Os 1.76
La (0.7494, 0.4762, 0.6654)  7 N 2.46-2.64
Os (0.6916, 0.6502, 0.0703)  4 N 1.76-1.96
N (0.2994, 0.0927, 0.9133)  1 Os 1.82
N (0.6141, 0.0982, 0.6163)  2 Os 1.94-1.96
Os (0.6916, 0.1502, 0.4297)  4 N 1.76-1.96
N (0.0274, 0.6617, 0.1493)  1 Os 1.76
N (0.6141, 0.5982, 0.8837)  2 Os 1.94-1.96
N (0.3859, 0.4018, 0.1163)  2 Os 1.94-1.96
N (0.2994, 0.5927, 0.5867)  1 Os 1.82
N (0.7006, 0.4073, 0.4133)  1 Os 1.82
N (0.3859, 0.9018, 0.3837)  2 Os 1.94-1.96
La (0.2506, 0.0238, 0.1654)  7 N 2.46-2.64
N (0.0274, 0.1617, 0.3507)  1 Os 1.76
N (0.9726, 0.3383, 0.8507)  1 Os 1.76
La (0.2506, 0.5238, 0.3346)  7 N 2.46-2.64
La (0.7494, 0.9762, 0.8346)  7 N 2.46-2.64


(5)
This record from Alexandria via LeMat-Bulk describes a relaxed structure of LaOsN3. The functional is GGA-PBEsol.

Its space-group type is P2_1/m. For the formation energy without anion corrections, the calculation gives -254 kJ/mol of formula units.

Cell: 3.8056 4.6662 7.3227 Å, 90.00 97.47 90.00°
Last column: nearest neighbours and their distance in Å.
Atoms (fractional coordinates):
La (0.9157, 0.7500, 0.7075)  4 N 2.44-2.72
N (0.4570, 0.2500, 0.6324)  1 N 1.24
N (0.0167, 0.7500, 0.0919)  2 Os 1.90-1.91
N (0.2971, 0.7500, 0.4643)  1 N 1.24
La (0.0843, 0.2500, 0.2925)  4 N 2.44-2.72
N (0.5430, 0.7500, 0.3676)  1 N 1.24
Os (0.4818, 0.2500, 0.9070)  3 N 1.90-2.00
Os (0.5182, 0.7500, 0.0930)  3 N 1.90-2.00
N (0.7029, 0.2500, 0.5357)  1 N 1.24
N (0.9833, 0.2500, 0.9081)  2 Os 1.90-1.91


(6)
This record from Alexandria via LeMat-Bulk describes a relaxed structure of LaOsN3. The functional is GGA-PBEsol.

Its space-group type is Pmma. For the formation energy without anion corrections, the calculation gives -261 kJ/mol of formula units.

Cell: 3.5711 5.6468 6.7173 Å, 90.00 90.00 90.00°
Last column: nearest neighbours and their distance in Å.
Atoms (fractional coordinates):
Os (0.5000, 0.7500, 0.8048)  4 N 1.93-1.97
N (0.5000, 0.5076, 0.5943)  1 N 1.27
La (0.0000, 0.2500, 0.7920)  8 N 2.66-2.67
N (0.5000, 0.5000, 0.0000)  2 Os 1.93
La (0.0000, 0.7500, 0.2080)  8 N 2.66-2.67
Os (0.5000, 0.2500, 0.1952)  4 N 1.93-1.97
N (0.5000, 0.9924, 0.5943)  1 N 1.27
N (0.5000, 0.0000, 0.0000)  2 Os 1.93
N (0.5000, 0.0076, 0.4057)  1 N 1.27
N (0.5000, 0.4924, 0.4057)  1 N 1.27


(7)
This record from Alexandria via LeMat-Bulk describes a relaxed structure of LaOsPb2N. The functional is GGA-PBEsol.

Its space-group type is P4/mmm. For the formation energy without anion corrections, the calculation gives 90 kJ/mol of formula units.

Cell: 3.6901 5.6771 5.6771 Å, 90.00 90.00 90.00°
Last column: nearest neighbours and their distance in Å.
Atoms (fractional coordinates):
Pb (0.0000, 0.5000, 0.0000)  2 Os 2.84
Pb (0.0000, 0.0000, 0.5000)  2 Os 2.84
Os (0.0000, 0.0000, 0.0000)  2 N 1.85
La (0.5000, 0.5000, 0.5000)  8 Pb 3.39, 2 La 3.69
N (0.5000, 0.0000, 0.0000)  2 Os 1.85


(8)
This record from Alexandria via LeMat-Bulk describes a relaxed structure of La2PN. The functional is GGA-PBEsol.

Its space-group type is I-42d. For the formation energy without anion corrections, the calculation gives -513 kJ/mol of formula units.

Cell: 6.2642 6.2642 6.2642 Å, 102.28 113.18 113.18°
Last column: nearest neighbours and their distance in Å.
Atoms (fractional coordinates):
La (0.9404, 0.5654, 0.1250)  2 N 2.38
La (0.5596, 0.3750, 0.4346)  2 N 2.38
La (0.4404, 0.8750, 0.8154)  2 N 2.38
N (0.0000, 0.5000, 0.5000)  4 La 2.38
La (0.0596, 0.1846, 0.6250)  2 N 2.38
N (0.5000, 0.2500, 0.7500)  4 La 2.38
P (0.0000, 0.0000, 0.0000)  4 La 2.92
P (0.5000, 0.7500, 0.2500)  4 La 2.92


(9)
This record from Alexandria via LeMat-Bulk describes a relaxed structure of LaPS2N. The functional is GGA-PBEsol.

Its space-group type is P4/mmm. The value obtained for the excess energy over the best structure of this formula in the dataset is 146.3 kJ/mol of atoms. For the formation energy without anion corrections, the calculation gives 400 kJ/mol of formula units.

Cell: 4.0694 5.4939 5.4939 Å, 90.00 90.00 90.00°
Last column: nearest neighbours and their distance in Å.
Atoms (fractional coordinates):
P (0.5000, 0.5000, 0.5000)  8 S 3.42
N (0.5000, 0.0000, 0.0000)  2 La 2.03
S (0.0000, 0.5000, 0.0000)  2 La 2.75
La (0.0000, 0.0000, 0.0000)  2 N 2.03
S (0.0000, 0.0000, 0.5000)  2 La 2.75


(10)
This record from Alexandria via LeMat-Bulk describes a relaxed structure of LaPS2N. The functional is GGA-PBEsol.

Its space-group type is P4/mmm. The value obtained for the excess energy over the best structure of this formula in the dataset is 0.0 kJ/mol of atoms. For the formation energy without anion corrections, the calculation gives -331 kJ/mol of formula units.

Cell: 3.6008 4.7241 4.7241 Å, 90.00 90.00 90.00°
Last column: nearest neighbours and their distance in Å.
Atoms (fractional coordinates):
S (0.0000, 0.0000, 0.5000)  2 P 2.36
N (0.5000, 0.0000, 0.0000)  2 P 1.80
S (0.0000, 0.5000, 0.0000)  2 P 2.36
La (0.5000, 0.5000, 0.5000)  8 S 2.97
P (0.0000, 0.0000, 0.0000)  2 N 1.80


(11)
This record from Alexandria via LeMat-Bulk describes a relaxed structure of LaTe2PN. The functional is GGA-PBEsol.

Its space-group type is P4/mmm. The value obtained for the excess energy over the best structure of this formula in the dataset is 92.6 kJ/mol of atoms. For the formation energy without anion corrections, the calculation gives 360 kJ/mol of formula units.

Cell: 4.0091 6.1672 6.1672 Å, 90.00 90.00 90.00°
Last column: nearest neighbours and their distance in Å.
Atoms (fractional coordinates):
La (0.0000, 0.0000, 0.0000)  2 N 2.00
P (0.5000, 0.5000, 0.5000)  8 Te 3.68, 2 P 4.01
Te (0.0000, 0.0000, 0.5000)  2 La 3.08
Te (0.0000, 0.5000, 0.0000)  2 La 3.08
N (0.5000, 0.0000, 0.0000)  2 La 2.00


(12)
This record from Alexandria via LeMat-Bulk describes a relaxed structure of LaTe2PN. The functional is GGA-PBEsol.

Its space-group type is P4/mmm. The value obtained for the excess energy over the best structure of this formula in the dataset is 0.0 kJ/mol of atoms. For the formation energy without anion corrections, the calculation gives -103 kJ/mol of formula units.

Cell: 3.3714 5.7869 5.7869 Å, 90.00 90.00 90.00°
Last column: nearest neighbours and their distance in Å.
Atoms (fractional coordinates):
Te (0.0000, 0.0000, 0.5000)  2 P 2.89
La (0.5000, 0.5000, 0.5000)  8 Te 3.35, 2 La 3.37
N (0.5000, 0.0000, 0.0000)  2 P 1.69
Te (0.0000, 0.5000, 0.0000)  2 P 2.89
P (0.0000, 0.0000, 0.0000)  2 N 1.69